Entry 1:
VASP calculation (GGA-PBEsol) on an optimized crystal structure of AlCdAg2.

Its formation energy is -67 meV/atom. For the final energy, the calculation gives -3.0443 eV/atom. The value obtained for the total magnetization is 0.00 μB/f.u.

Cell: 2.9883 4.6219 4.9254 Å, 90.00 90.00 90.00°
Atoms (fractional coordinates):
1 Al 0.3752 0.0000 0.4332
2 Ag 0.8749 0.0000 0.9543
3 Ag 0.8750 0.5000 0.3089
4 Cd 0.3749 0.5000 0.8037

---

Entry 2:
VASP calculation (GGA-PBEsol) on an optimized crystal structure of AlCdAg2.

Its formation energy is -38 meV/atom. For the final energy, the calculation gives -3.0155 eV/atom. The value obtained for the total magnetization is 0.00 μB/f.u.

Cell: 4.2966 4.7772 4.2966 Å, 63.28 90.00 116.72°
Atoms (fractional coordinates):
1 Al 0.5000 0.0000 0.5000
2 Ag 0.2500 0.5000 0.2500
3 Ag 0.7500 0.5000 0.7500
4 Cd 0.0000 0.0000 0.0000

---

Entry 3:
VASP calculation (GGA-PBEsol) on an optimized crystal structure of AlCdAg2.

Its formation energy is -35 meV/atom. For the final energy, the calculation gives -3.0129 eV/atom. The value obtained for the total magnetization is 0.00 μB/f.u.

Cell: 3.2843 4.5235 5.3681 Å, 114.92 107.81 90.00°
Atoms (fractional coordinates):
1 Al 0.4904 0.4904 0.9808
2 Ag 0.0050 0.0050 0.0099
3 Ag 0.7584 0.2584 0.5168
4 Cd 0.2463 0.7463 0.4925

---

Entry 4:
VASP calculation (GGA-PBEsol) on an optimized crystal structure of Al2CdAg.

Its formation energy is 32 meV/atom. For the final energy, the calculation gives -3.1404 eV/atom. The value obtained for the total magnetization is 0.00 μB/f.u.

Cell: 3.0685 4.8653 5.0228 Å, 111.49 90.00 90.00°
Atoms (fractional coordinates):
1 Al 0.0000 0.0000 0.0000
2 Al 0.5000 0.0000 0.5000
3 Ag 0.0000 0.5000 0.5000
4 Cd 0.5000 0.5000 0.0000

---

Entry 5:
VASP calculation (GGA-PBEsol) on an optimized crystal structure of AlCd2Ag.

Its formation energy is 32 meV/atom. For the final energy, the calculation gives -2.4169 eV/atom. The value obtained for the total magnetization is 0.00 μB/f.u.

Cell: 3.0149 4.1825 5.8352 Å, 90.00 90.00 90.00°
Atoms (fractional coordinates):
1 Al 0.5000 0.5000 0.5000
2 Ag 0.5000 0.5000 0.0000
3 Cd 0.0000 0.0000 0.7520
4 Cd 0.0000 0.0000 0.2480

---

Entry 6:
VASP calculation (GGA-PBEsol) on an optimized crystal structure of AlAgCl.

For the final energy, the calculation gives -3.3957 eV/atom. The value obtained for the total magnetization is 0.00 μB/f.u. For the energy relative to the elements, uncorrected, the calculation gives -0.259 eV per atom.

Cell: 3.2230 3.2230 6.4176 Å, 90.00 90.00 120.00°
Atoms (fractional coordinates):
1 Al 0.3333 0.6667 0.6630
2 Ag 0.0000 0.0000 0.9388
3 Cl 0.6667 0.3333 0.3982

---

Entry 7:
VASP calculation (GGA-PBEsol) on an optimized crystal structure of AlAg2Cl.

For the final energy, the calculation gives -3.2366 eV/atom. The value obtained for the total magnetization is 0.00 μB/f.u. For the energy relative to the elements, uncorrected, the calculation gives -0.056 eV per atom.

Cell: 2.9941 5.5359 5.1163 Å, 117.49 90.00 105.69°
Atoms (fractional coordinates):
1 Al 0.5000 0.0000 0.0000
2 Ag 0.7664 0.5327 0.7664
3 Ag 0.2336 0.4673 0.2336
4 Cl 0.0000 0.0000 0.5000

---

Entry 8:
VASP calculation (GGA-PBEsol) on an optimized crystal structure of Al3AgCl.

For the final energy, the calculation gives -3.3254 eV/atom. The value obtained for the total magnetization is 0.00 μB/f.u. For the energy relative to the elements, uncorrected, the calculation gives 0.193 eV per atom.

Cell: 4.8675 4.8675 4.8675 Å, 90.00 90.00 90.00°
Atoms (fractional coordinates):
1 Al 0.0000 0.5000 0.0000
2 Al 0.0000 0.0000 0.5000
3 Al 0.5000 0.0000 0.0000
4 Ag 0.0000 0.0000 0.0000
5 Cl 0.5000 0.5000 0.5000

---

What is the total magnetization in the fifth record? 0.00 μB/f.u.

---

final energy of number 5 (AlCd2Ag)? -2.4169 eV/atom